## w
# Np2SbH2 | Alexandria | PBE | relaxed
# - DOS at the Fermi energy: 2.04 states/eV/atom
data_Np2SbH2
_chemical_formula_sum 'Np4 Sb2 H4'
_cell_length_a 4.111
_cell_length_b 4.111
_cell_length_c 9.701
_cell_angle_alpha 90.00
_cell_angle_beta 90.00
_cell_angle_gamma 90.00
_symmetry_space_group_name_H-M 'I 4/m m m'
_symmetry_Int_Tables_number 139
_symmetry_space_group_name_Hall '-I 4 2'
loop_
_atom_site_label
_atom_site_fract_x
_atom_site_fract_y
_atom_site_fract_z
Np1 0.000 0.000 0.154
Sb1 0.000 0.000 0.500
H1 0.000 0.500 0.250

---

## x
# Np2SbH2 | Alexandria | PBE | relaxed
# - DOS at the Fermi energy: 2.14 states/eV/atom
data_Np2SbH2
_chemical_formula_sum 'Np16 Sb8 H16'
_cell_length_a 5.697
_cell_length_b 9.966
_cell_length_c 11.777
_cell_angle_alpha 90.00
_cell_angle_beta 90.00
_cell_angle_gamma 90.00
_symmetry_space_group_name_H-M 'F d d d'
_symmetry_Int_Tables_number 70
loop_
_symmetry_equiv_pos_as_xyz
'x,y,z'
'-x,-y,-z'
'-x+1/4,-y+1/4,z'
'x+1/4,y+1/4,-z'
'x,-y+1/4,-z+1/4'
'-x,y+1/4,z+1/4'
'-x+1/4,y,-z+1/4'
'x+1/4,-y,z+1/4'
'x,y+1/2,z+1/2'
'-x,-y+1/2,-z+1/2'
'-x+1/4,-y+3/4,z+1/2'
'x+1/4,y+3/4,-z+1/2'
'x,-y+3/4,-z+3/4'
'-x,y+3/4,z+3/4'
'-x+1/4,y+1/2,-z+3/4'
'x+1/4,-y+1/2,z+3/4'
'x+1/2,y,z+1/2'
'-x+1/2,-y,-z+1/2'
'-x+3/4,-y+1/4,z+1/2'
'x+3/4,y+1/4,-z+1/2'
'x+1/2,-y+1/4,-z+3/4'
'-x+1/2,y+1/4,z+3/4'
'-x+3/4,y,-z+3/4'
'x+3/4,-y,z+3/4'
'x+1/2,y+1/2,z'
'-x+1/2,-y+1/2,-z'
'-x+3/4,-y+3/4,z'
'x+3/4,y+3/4,-z'
'x+1/2,-y+3/4,-z+1/4'
'-x+1/2,y+3/4,z+1/4'
'-x+3/4,y+1/2,-z+1/4'
'x+3/4,-y+1/2,z+1/4'
loop_
_atom_site_label
_atom_site_fract_x
_atom_site_fract_y
_atom_site_fract_z
Np1 0.125 0.301 0.125
Sb1 0.125 0.125 0.625
H1 0.125 0.125 0.008

---

Most favorable structure: w. The second most favorable one is 20 meV per atom above it.

---

## w
# NpSbH | Alexandria | PBE | relaxed
# - DOS at the Fermi energy: 3.12 states/eV/atom
data_NpSbH
_chemical_formula_sum 'Np2 Sb2 H2'
_cell_length_a 4.364
_cell_length_b 4.364
_cell_length_c 7.204
_cell_angle_alpha 90.00
_cell_angle_beta 90.00
_cell_angle_gamma 90.00
_symmetry_space_group_name_H-M 'I 4 m m'
_symmetry_Int_Tables_number 107
_symmetry_space_group_name_Hall 'I 4 -2'
loop_
_atom_site_label
_atom_site_fract_x
_atom_site_fract_y
_atom_site_fract_z
Np1 0.000 0.000 0.000
Sb1 0.000 0.000 0.568
H1 0.000 0.000 0.299

---

## x
# NpSbH | Alexandria | PBE | relaxed
# - DOS at the Fermi energy: 1.66 states/eV/atom
data_NpSbH
_chemical_formula_sum 'Np2 Sb2 H2'
_cell_length_a 3.172
_cell_length_b 3.172
_cell_length_c 11.286
_cell_angle_alpha 90.00
_cell_angle_beta 90.00
_cell_angle_gamma 90.00
_symmetry_space_group_name_H-M 'I 4 m m'
_symmetry_Int_Tables_number 107
_symmetry_space_group_name_Hall 'I 4 -2'
loop_
_atom_site_label
_atom_site_fract_x
_atom_site_fract_y
_atom_site_fract_z
Np1 0.000 0.000 0.000
Sb1 0.000 0.000 0.716
H1 0.000 0.000 0.440

---

## y
# NpSbH | Alexandria | PBE | relaxed
# - DOS at the Fermi energy: 1.78 states/eV/atom
data_NpSbH
_chemical_formula_sum 'Np1 Sb1 H1'
_cell_length_a 3.8037
_cell_length_b 3.8037
_cell_length_c 4.5419
_cell_angle_alpha 90.00
_cell_angle_beta 90.00
_cell_angle_gamma 120.00
_symmetry_space_group_name_H-M 'P -6 m 2'
_symmetry_Int_Tables_number 187
_symmetry_space_group_name_Hall 'P -6 2'
loop_
_atom_site_label
_atom_site_fract_x
_atom_site_fract_y
_atom_site_fract_z
Np1 0.0000 0.0000 0.0000
Sb1 0.6667 0.3333 0.5000
H1 0.3333 0.6667 0.0000

---

Most favorable structure: y. The second most favorable one is 174 meV per atom above it.

---

## w
# NpSbH | Alexandria | PBE | relaxed
# - DOS at the Fermi energy: 2.47 states/eV/atom
data_NpSbH
_chemical_formula_sum 'Np2 Sb2 H2'
_cell_length_a 3.9260
_cell_length_b 3.9260
_cell_length_c 8.4714
_cell_angle_alpha 90.00
_cell_angle_beta 90.00
_cell_angle_gamma 120.00
_symmetry_space_group_name_H-M 'P 63/m m c'
_symmetry_Int_Tables_number 194
_symmetry_space_group_name_Hall '-P 6c 2c'
loop_
_atom_site_label
_atom_site_fract_x
_atom_site_fract_y
_atom_site_fract_z
Np1 0.3333 0.6667 0.2500
Sb1 0.0000 0.0000 0.0000
H1 0.3333 0.6667 0.7500

---

## x
# NpSbH | Alexandria | PBE | relaxed
# - DOS at the Fermi energy: 1.47 states/eV/atom
data_NpSbH
_chemical_formula_sum 'Np2 Sb2 H2'
_cell_length_a 3.950
_cell_length_b 4.214
_cell_length_c 6.808
_cell_angle_alpha 90.00
_cell_angle_beta 90.00
_cell_angle_gamma 90.00
_symmetry_space_group_name_H-M 'P m m m'
_symmetry_Int_Tables_number 47
_symmetry_space_group_name_Hall '-P 2 2'
loop_
_atom_site_label
_atom_site_fract_x
_atom_site_fract_y
_atom_site_fract_z
Np1 0.000 0.000 0.174
Sb1 0.000 0.500 0.500
Sb2 0.500 0.500 0.000
H1 0.500 0.000 0.289

---

Most favorable structure: w. The second most favorable one is 259 meV per atom above it.

---

## w
# Np3SbH | Alexandria | PBE | relaxed
# - DOS at the Fermi energy: 2.91 states/eV/atom
data_Np3SbH
_chemical_formula_sum 'Np3 Sb1 H1'
_cell_length_a 4.648
_cell_length_b 4.648
_cell_length_c 4.648
_cell_angle_alpha 90.00
_cell_angle_beta 90.00
_cell_angle_gamma 90.00
_symmetry_space_group_name_H-M 'P m -3 m'
_symmetry_Int_Tables_number 221
_symmetry_space_group_name_Hall '-P 4 2 3'
loop_
_atom_site_label
_atom_site_fract_x
_atom_site_fract_y
_atom_site_fract_z
Np1 0.000 0.000 0.500
Sb1 0.500 0.500 0.500
H1 0.000 0.000 0.000

---

## x
# Np3SbH | Alexandria | PBE | relaxed
# - DOS at the Fermi energy: 2.25 states/eV/atom
data_Np3SbH
_chemical_formula_sum 'Np6 Sb2 H2'
_cell_length_a 6.136
_cell_length_b 4.467
_cell_length_c 7.455
_cell_angle_alpha 90.00
_cell_angle_beta 113.90
_cell_angle_gamma 90.00
_symmetry_space_group_name_H-M 'P 1 21 1'
_symmetry_Int_Tables_number 4
_symmetry_space_group_name_Hall 'P 2yb'
loop_
_atom_site_label
_atom_site_fract_x
_atom_site_fract_y
_atom_site_fract_z
Np1 0.094 0.000 0.007
Np2 0.150 0.498 0.665
Np3 0.262 0.999 0.359
Sb1 0.472 0.500 0.174
H1 0.061 0.509 0.336

---

Most favorable structure: x. The second most favorable one is 39 meV per atom above it.

---

## w
# NpHSe2 | Alexandria | PBE | relaxed
# - DOS at the Fermi energy: 2.12 states/eV/atom
data_NpHSe2
_chemical_formula_sum 'Np3 H3 Se6'
_cell_length_a 4.2807
_cell_length_b 4.2807
_cell_length_c 19.6290
_cell_angle_alpha 90.00
_cell_angle_beta 90.00
_cell_angle_gamma 120.00
_symmetry_space_group_name_H-M 'R -3 m'
_symmetry_Int_Tables_number 166
_symmetry_space_group_name_Hall '-R 3 2"'
loop_
_atom_site_label
_atom_site_fract_x
_atom_site_fract_y
_atom_site_fract_z
Np1 0.0000 0.0000 0.0000
H1 0.0000 0.0000 0.5000
Se1 0.0000 0.0000 0.4104

---

## x
# NpHSe2 | Alexandria | PBE | relaxed
# - DOS at the Fermi energy: 2.15 states/eV/atom
data_NpHSe2
_chemical_formula_sum 'Np2 H2 Se4'
_cell_length_a 5.641
_cell_length_b 3.829
_cell_length_c 7.356
_cell_angle_alpha 90.00
_cell_angle_beta 109.71
_cell_angle_gamma 90.00
_symmetry_space_group_name_H-M 'P 1 21/m 1'
_symmetry_Int_Tables_number 11
_symmetry_space_group_name_Hall '-P 2yb'
loop_
_atom_site_label
_atom_site_fract_x
_atom_site_fract_y
_atom_site_fract_z
Np1 0.138 0.250 0.283
H1 0.037 0.250 0.752
Se1 0.279 0.750 0.059
Se2 0.299 0.750 0.592

---

## y
# NpHSe2 | Alexandria | PBE | relaxed
# - DOS at the Fermi energy: 2.23 states/eV/atom
data_NpHSe2
_chemical_formula_sum 'Np4 H4 Se8'
_cell_length_a 4.243
_cell_length_b 17.892
_cell_length_c 5.688
_cell_angle_alpha 90.00
_cell_angle_beta 90.00
_cell_angle_gamma 90.00
_symmetry_space_group_name_H-M 'C m c 21'
_symmetry_Int_Tables_number 36
_symmetry_space_group_name_Hall 'C 2c -2'
loop_
_atom_site_label
_atom_site_fract_x
_atom_site_fract_y
_atom_site_fract_z
Np1 0.000 0.187 0.000
H1 0.000 0.468 0.658
Se1 0.000 0.203 0.499
Se2 0.000 0.424 0.430

---

Most favorable structure: y. The second most favorable one is 54 meV per atom above it.

---

## w
# NpSiH | Alexandria | PBE | relaxed
# - DOS at the Fermi energy: 1.96 states/eV/atom
data_NpSiH
_chemical_formula_sum 'Np1 Si1 H1'
_cell_length_a 3.6402
_cell_length_b 3.6402
_cell_length_c 4.1894
_cell_angle_alpha 90.00
_cell_angle_beta 90.00
_cell_angle_gamma 120.00
_symmetry_space_group_name_H-M 'P -6 m 2'
_symmetry_Int_Tables_number 187
_symmetry_space_group_name_Hall 'P -6 2'
loop_
_atom_site_label
_atom_site_fract_x
_atom_site_fract_y
_atom_site_fract_z
Np1 0.0000 0.0000 0.0000
Si1 0.6667 0.3333 0.5000
H1 0.3333 0.6667 0.0000

---

## x
# NpSiH | Alexandria | PBE | relaxed
# - DOS at the Fermi energy: 1.44 states/eV/atom
data_NpSiH
_chemical_formula_sum 'Np2 Si2 H2'
_cell_length_a 3.113
_cell_length_b 3.330
_cell_length_c 8.202
_cell_angle_alpha 90.00
_cell_angle_beta 90.00
_cell_angle_gamma 90.00
_symmetry_space_group_name_H-M 'P m m n'
_symmetry_Int_Tables_number 59
loop_
_symmetry_equiv_pos_as_xyz
'x,y,z'
'-x,-y,-z'
'-x+1/2,-y+1/2,z'
'x+1/2,y+1/2,-z'
'x+1/2,-y,-z'
'-x+1/2,y,z'
'-x,y+1/2,-z'
'x,-y+1/2,z'
loop_
_atom_site_label
_atom_site_fract_x
_atom_site_fract_y
_atom_site_fract_z
Np1 0.250 0.250 0.194
Si1 0.250 0.250 0.563
H1 0.250 0.250 0.909

---

Most favorable structure: x. The second most favorable one is 171 meV per atom above it.

---

## w
# NpSiH | Alexandria | PBE | relaxed
# - DOS at the Fermi energy: 1.03 states/eV/atom
data_NpSiH
_chemical_formula_sum 'Np16 Si16 H16'
_cell_length_a 6.650
_cell_length_b 9.311
_cell_length_c 10.686
_cell_angle_alpha 90.00
_cell_angle_beta 90.00
_cell_angle_gamma 90.00
_symmetry_space_group_name_H-M 'F d d d'
_symmetry_Int_Tables_number 70
loop_
_symmetry_equiv_pos_as_xyz
'x,y,z'
'-x,-y,-z'
'-x+1/4,-y+1/4,z'
'x+1/4,y+1/4,-z'
'x,-y+1/4,-z+1/4'
'-x,y+1/4,z+1/4'
'-x+1/4,y,-z+1/4'
'x+1/4,-y,z+1/4'
'x,y+1/2,z+1/2'
'-x,-y+1/2,-z+1/2'
'-x+1/4,-y+3/4,z+1/2'
'x+1/4,y+3/4,-z+1/2'
'x,-y+3/4,-z+3/4'
'-x,y+3/4,z+3/4'
'-x+1/4,y+1/2,-z+3/4'
'x+1/4,-y+1/2,z+3/4'
'x+1/2,y,z+1/2'
'-x+1/2,-y,-z+1/2'
'-x+3/4,-y+1/4,z+1/2'
'x+3/4,y+1/4,-z+1/2'
'x+1/2,-y+1/4,-z+3/4'
'-x+1/2,y+1/4,z+3/4'
'-x+3/4,y,-z+3/4'
'x+3/4,-y,z+3/4'
'x+1/2,y+1/2,z'
'-x+1/2,-y+1/2,-z'
'-x+3/4,-y+3/4,z'
'x+3/4,y+3/4,-z'
'x+1/2,-y+3/4,-z+1/4'
'-x+1/2,y+3/4,z+1/4'
'-x+3/4,y+1/2,-z+1/4'
'x+3/4,-y+1/2,z+1/4'
loop_
_atom_site_label
_atom_site_fract_x
_atom_site_fract_y
_atom_site_fract_z
Np1 0.125 0.252 0.125
Si1 0.000 0.000 0.500
H1 0.125 0.125 0.296

---

## x
# NpSiH | Alexandria | PBE | relaxed
# - DOS at the Fermi energy: 1.92 states/eV/atom
data_NpSiH
_chemical_formula_sum 'Np4 Si4 H4'
_cell_length_a 4.077
_cell_length_b 10.764
_cell_length_c 3.921
_cell_angle_alpha 90.00
_cell_angle_beta 90.00
_cell_angle_gamma 90.00
_symmetry_space_group_name_H-M 'C m c m'
_symmetry_Int_Tables_number 63
_symmetry_space_group_name_Hall '-C 2c 2'
loop_
_atom_site_label
_atom_site_fract_x
_atom_site_fract_y
_atom_site_fract_z
Np1 0.000 0.153 0.250
Si1 0.000 0.437 0.250
H1 0.000 0.256 0.750

---

Most favorable structure: x. The second most favorable one is 467 meV per atom above it.

---

## w
# NpTcH4 | Alexandria | PBE | relaxed
# - DOS at the Fermi energy: 1.15 states/eV/atom
data_NpTcH4
_chemical_formula_sum 'Np4 Tc4 H16'
_cell_length_a 3.713
_cell_length_b 12.187
_cell_length_c 4.864
_cell_angle_alpha 90.00
_cell_angle_beta 90.11
_cell_angle_gamma 90.00
_symmetry_space_group_name_H-M 'C 1 2/c 1'
_symmetry_Int_Tables_number 15
_symmetry_space_group_name_Hall '-C 2yc'
loop_
_atom_site_label
_atom_site_fract_x
_atom_site_fract_y
_atom_site_fract_z
Np1 0.000 0.133 0.250
Tc1 0.000 0.397 0.250
H1 0.000 0.096 0.750
H2 0.000 0.500 0.000
H3 0.001 0.297 0.994

---

## x
# NpTcH4 | Alexandria | PBE | relaxed
# - DOS at the Fermi energy: 0.76 states/eV/atom
data_NpTcH4
_chemical_formula_sum 'Np4 Tc4 H16'
_cell_length_a 5.954
_cell_length_b 5.954
_cell_length_c 5.954
_cell_angle_alpha 90.00
_cell_angle_beta 90.00
_cell_angle_gamma 90.00
_symmetry_space_group_name_H-M 'F -4 3 m'
_symmetry_Int_Tables_number 216
_symmetry_space_group_name_Hall 'F -4 2 3'
loop_
_atom_site_label
_atom_site_fract_x
_atom_site_fract_y
_atom_site_fract_z
Np1 0.000 0.000 0.000
Tc1 0.250 0.250 0.250
H1 0.126 0.126 0.626

---

Most favorable structure: w. The second most favorable one is 771 meV per atom above it.